{
  "formula": "PuCd2PbO6",
  "functional": "PBE",
  "state": "optimized geometry",
  "e_tot_ev_per_atom": -6.587,
  "magnetic_moment_mub_per_atom": 0.2000,
  "e_form_raw_ev_per_atom": -1.63,
  "sg": "R3, No. 146",
  "cell": [[2.921, 1.687, 5.258], [-2.921, 1.687, 5.258], [0.000, -3.373, 5.258]],
  "species": ["Pu", "Cd", "Cd", "Pb", "O", "O", "O", "O", "O", "O"],
  "frac_coords": [[0.000, 0.000, 0.000], [0.302, 0.302, 0.302], [0.789, 0.789, 0.789], [0.514, 0.514, 0.514], [0.087, 0.367, 0.755], [0.193, 0.921, 0.634], [0.367, 0.755, 0.087], [0.634, 0.193, 0.921], [0.755, 0.087, 0.367], [0.921, 0.634, 0.193]]
}

{
  "formula": "RbCdPbO3",
  "functional": "PBE",
  "state": "optimized geometry",
  "e_tot_ev_per_atom": -4.419,
  "magnetic_moment_mub_per_atom": 0.0000,
  "e_form_raw_ev_per_atom": -1.01,
  "sg": "P2_1/m, No. 11",
  "cell": [[6.245, 0.000, 0.000], [0.000, 3.733, 0.000], [-1.623, 0.000, 9.097]],
  "species": ["Rb", "Rb", "Cd", "Cd", "Pb", "Pb", "O", "O", "O", "O", "O", "O"],
  "frac_coords": [[0.144, 0.250, 0.178], [0.856, 0.750, 0.822], [0.384, 0.250, 0.863], [0.616, 0.750, 0.137], [0.259, 0.750, 0.547], [0.741, 0.250, 0.453], [0.060, 0.250, 0.630], [0.289, 0.750, 0.965], [0.493, 0.750, 0.365], [0.507, 0.250, 0.635], [0.711, 0.250, 0.035], [0.940, 0.750, 0.370]]
}